# 1
VASP calculation (SCAN) on a crystal of Be2OsW relaxed with PBEsol.

## Properties
For the density of states at the Fermi level, the calculation gives 3.6 states/eV per cell. As for the total energy: -149.9 eV per formula unit. The size of the total moment is 0.0 μB/cell.

a = 8.488 Å, b = 2.925 Å, c = 4.299 Å
α = 90.00°, β = 113.62°, γ = 90.00°
Space group C2/m (No. 12)
Inequivalent atoms, fractional coordinates:
Be 0.241 0.000 0.212 x4
Os 0.000 0.500 0.000 x2
W 0.000 0.000 0.500 x2



# 2
VASP calculation (SCAN) on a crystal of BeOsW relaxed with PBEsol.

## Properties
For the density of states at the Fermi level, the calculation gives 7.9 states/eV per cell. As for the total energy: -144.0 eV per formula unit. The size of the total moment is 0.0 μB/cell.

a = 5.745 Å, b = 5.745 Å, c = 5.745 Å
α = 90.00°, β = 90.00°, γ = 90.00°
Space group F-43m (No. 216)
Inequivalent atoms, fractional coordinates:
Be 0.000 0.000 0.000 x4
Os 0.000 0.000 0.500 x4
W 0.250 0.250 0.750 x4



# 3
VASP calculation (SCAN) on a crystal of Be2OsW relaxed with PBEsol.

## Properties
For the density of states at the Fermi level, the calculation gives 7.0 states/eV per cell. As for the total energy: -148.0 eV per formula unit. The size of the total moment is 0.0 μB/cell.

a = 3.576 Å, b = 3.576 Å, c = 16.784 Å
α = 90.00°, β = 90.00°, γ = 90.00°
Space group I-42d (No. 122)
Inequivalent atoms, fractional coordinates:
Be 0.228 0.250 0.125 x8
Os 0.000 0.000 0.000 x4
W 0.000 0.000 0.500 x4